Computed, not measured: a relaxed structure of ErSnBr2 at the PBE-GGA level of DFT.

Lattice parameters (Å, degrees): 3.7047 3.7047 31.8022 90.00 90.00 120.00
Space group R-3m (No. 166, hexagonal axes)
Unique sites:
Er  0.0000  0.0000  0.0000 (multiplicity 3)
Sn  0.0000  0.0000  0.5000 (multiplicity 3)
Br  0.0000  0.0000  0.0844 (multiplicity 6)

Values from the calculation:
- ΔE_f (raw) (eV per atom) = -0.569
- D(E_F) (states/eV/atom) = 0.340
- VASP energy (eV/atom) = -3.546
- spin magnetization (μB per cell) = 0.00